CsNbCd (PBE, optimized geometry); space-group type = P-1, No. 2; energy above the most stable polymorph in this dataset = 0.0 meV per atom; ΔH_f (0 K) = 0.388 eV per atom
1.0
4.6333 0.0000 0.0000
2.2967 4.0268 0.0000
1.3152 0.0925 13.2053
Cs Nb Cd
2 2 2
direct
0.2470 0.3271 0.3136 Cs
0.7530 0.6729 0.6864 Cs
0.3364 0.3369 0.9992 Nb
0.6636 0.6631 0.0008 Nb
0.0312 0.0032 0.8875 Cd
0.9688 0.9968 0.1125 Cd